DFT (GGA-PBE) results for crystalline Sm4PIrCl2 at its relaxed geometry.

abc: 7.3878 4.0226 7.3936
angles: 90.00 107.71 90.00
Closest atoms and distances in Å follow each position.
Fractional coordinates of all 8 atoms:
Sm 0.2256 0.0000 0.2077  2 Ir 2.76, 1 P 2.89
Sm 0.2591 0.5000 0.7875  1 Ir 2.82, 2 P 2.82, 2 Cl 3.12
Sm 0.7409 0.5000 0.2125  1 Ir 2.82, 2 P 2.82, 2 Cl 3.12
Sm 0.7744 0.0000 0.7923  2 Ir 2.76, 1 P 2.89
P 0.5000 0.0000 0.0000  6 Sm 2.82-2.89
Ir 0.0000 0.5000 0.0000  6 Sm 2.76-2.82
Cl 0.0000 0.0000 0.5000  6 Sm 3.10-3.12
Cl 0.5000 0.5000 0.5000  6 Sm 3.16-3.19

The value obtained for the raw formation energy is -10.7 eV per formula unit. The volume is 209 Å³ per cell. Its energy is -5.946 eV per atom.

=====

DFT (GGA-PBE) results for crystalline SrP2IrCl at its relaxed geometry.

abc: 5.7735 5.7735 5.2793
angles: 90.00 90.00 90.00
Closest atoms and distances in Å follow each position.
Fractional coordinates of all 5 atoms:
Sr 0.0000 0.0000 0.0000  2 Cl 2.64, 4 P 2.89
P 0.0000 0.5000 0.0000  2 Sr 2.89
P 0.5000 0.0000 0.0000  2 Sr 2.89
Ir 0.5000 0.5000 0.5000  8 P 3.91, 4 Cl 4.08
Cl 0.0000 0.0000 0.5000  2 Sr 2.64

The energy above the most stable polymorph in this dataset is 1991 meV/atom. The value obtained for the raw formation energy is 7.7 eV per formula unit. The volume is 176 Å³ per cell. Its energy is -3.103 eV per atom.

=====

DFT (GGA-PBE) results for crystalline SrP2IrCl at its relaxed geometry.

abc: 4.4614 4.4614 6.6225
angles: 90.00 90.00 90.00
Closest atoms and distances in Å follow each position.
Fractional coordinates of all 5 atoms:
Sr 0.0000 0.0000 0.0000  4 Cl 3.15
P 0.0000 0.5000 0.5000  2 Ir 2.23
P 0.5000 0.0000 0.5000  2 Ir 2.23
Ir 0.5000 0.5000 0.5000  4 P 2.23
Cl 0.5000 0.5000 0.0000  4 Sr 3.15, 2 Ir 3.31

The energy above the most stable polymorph in this dataset is 0 meV/atom. The value obtained for the raw formation energy is -2.3 eV per formula unit. The volume is 132 Å³ per cell. Its energy is -5.094 eV per atom.

=====

DFT (GGA-PBE) results for crystalline SrPIrCl2 at its relaxed geometry.

abc: 5.2769 5.2769 6.3861
angles: 90.00 90.00 90.00
Closest atoms and distances in Å follow each position.
Fractional coordinates of all 5 atoms:
Sr 0.0000 0.0000 0.0000  4 Cl 2.64
P 0.0000 0.0000 0.5000  2 Sr 3.19
Ir 0.5000 0.5000 0.5000  4 P 3.73, 8 Cl 4.14
Cl 0.0000 0.5000 0.0000  2 Sr 2.64
Cl 0.5000 0.0000 0.0000  2 Sr 2.64

The energy above the most stable polymorph in this dataset is 1360 meV/atom. The value obtained for the raw formation energy is 3.6 eV per formula unit. The volume is 178 Å³ per cell. Its energy is -3.216 eV per atom.

=====

DFT (GGA-PBE) results for crystalline SrPIrCl2 at its relaxed geometry.

abc: 5.1457 5.1457 4.4976
angles: 90.00 90.00 90.00
Closest atoms and distances in Å follow each position.
Fractional coordinates of all 5 atoms:
Sr 0.0000 0.0000 0.0000  8 Cl 3.42, 4 P 3.64
P 0.5000 0.5000 0.0000  2 Ir 2.25
Ir 0.5000 0.5000 0.5000  2 P 2.25
Cl 0.0000 0.5000 0.5000  2 Ir 2.57
Cl 0.5000 0.0000 0.5000  2 Ir 2.57

The energy above the most stable polymorph in this dataset is 0 meV/atom. The value obtained for the raw formation energy is -3.2 eV per formula unit. The volume is 119 Å³ per cell. Its energy is -4.576 eV per atom.

=====

DFT (GGA-PBE) results for crystalline TaPIrCl2 at its relaxed geometry.

abc: 4.6695 4.6695 4.7316
angles: 90.00 90.00 90.00
Closest atoms and distances in Å follow each position.
Fractional coordinates of all 5 atoms:
Ta 0.0000 0.0000 0.0000  4 P 3.30, 8 Cl 3.32
P 0.5000 0.5000 0.0000  2 Ir 2.37
Ir 0.5000 0.5000 0.5000  4 Cl 2.33, 2 P 2.37
Cl 0.0000 0.5000 0.5000  2 Ir 2.33
Cl 0.5000 0.0000 0.5000  2 Ir 2.33

The energy above the most stable polymorph in this dataset is 237 meV/atom. The value obtained for the raw formation energy is 5.2 eV per formula unit. The volume is 103 Å³ per cell. Its energy is -4.921 eV per atom.

=====

DFT (GGA-PBE) results for crystalline TaP2IrCl at its relaxed geometry.

abc: 4.8567 4.8567 4.5747
angles: 90.00 90.00 90.00
Closest atoms and distances in Å follow each position.
Fractional coordinates of all 5 atoms:
Ta 0.0000 0.0000 0.0000  2 Cl 2.29, 4 P 2.43
P 0.0000 0.5000 0.0000  2 Ta 2.43
P 0.5000 0.0000 0.0000  2 Ta 2.43
Ir 0.5000 0.5000 0.5000  8 P 3.34, 4 Cl 3.43
Cl 0.0000 0.0000 0.5000  2 Ta 2.29

The energy above the most stable polymorph in this dataset is 0 meV/atom. The value obtained for the raw formation energy is 4.9 eV per formula unit. The volume is 108 Å³ per cell. Its energy is -5.699 eV per atom.

=====

DFT (GGA-PBE) results for crystalline TaP2IrCl at its relaxed geometry.

abc: 4.6018 4.6018 4.6040
angles: 90.00 90.00 90.00
Closest atoms and distances in Å follow each position.
Fractional coordinates of all 5 atoms:
Ta 0.0000 0.0000 0.0000  4 Cl 3.25, 8 P 3.25
P 0.0000 0.5000 0.5000  2 Ir 2.30
P 0.5000 0.0000 0.5000  2 Ir 2.30
Ir 0.5000 0.5000 0.5000  4 P 2.30, 2 Cl 2.30
Cl 0.5000 0.5000 0.0000  2 Ir 2.30

The energy above the most stable polymorph in this dataset is 59 meV/atom. The value obtained for the raw formation energy is 5.2 eV per formula unit. The volume is 97 Å³ per cell. Its energy is -5.640 eV per atom.